(1)
The following is a PBE-GGA calculation of an optimized crystal structure of TlAgF3, from the Alexandria database.

```
data_TlAgF3
_chemical_formula_sum 'Tl1 Ag1 F3'
_cell_length_a 4.608
_cell_length_b 4.608
_cell_length_c 4.678
_cell_angle_alpha 90.00
_cell_angle_beta 90.00
_cell_angle_gamma 90.00
_space_group_name_H-M_alt 'P 4 m m'
_space_group_IT_number 99
loop_
_space_group_symop_operation_xyz
'x,y,z'
'-y,x,z'
'-x,-y,z'
'y,-x,z'
'-x,y,z'
'y,x,z'
'x,-y,z'
'-y,-x,z'
loop_
_atom_site_label
_atom_site_type_symbol
_atom_site_fract_x
_atom_site_fract_y
_atom_site_fract_z
Tl1 Tl 0.000 0.000 0.000
Ag1 Ag 0.500 0.500 0.309
F1 F 0.000 0.000 0.516
F2 F 0.000 0.500 0.108
```

E_tot, eV per atom: -3.528
ΔE to the lowest computed polymorph, eV/atom: 0.1422

***

(2)
The following is a PBE-GGA calculation of an optimized crystal structure of TlAg2F5, from the Alexandria database.

```
data_TlAg2F5
_chemical_formula_sum 'Tl4 Ag8 F20'
_cell_length_a 10.327
_cell_length_b 7.154
_cell_length_c 6.411
_cell_angle_alpha 90.00
_cell_angle_beta 90.00
_cell_angle_gamma 90.00
_space_group_name_H-M_alt 'P n m a'
_space_group_IT_number 62
loop_
_space_group_symop_operation_xyz
'x,y,z'
'-x,-y,-z'
'-x+1/2,-y,z+1/2'
'x+1/2,y,-z+1/2'
'x+1/2,-y+1/2,-z+1/2'
'-x+1/2,y+1/2,z+1/2'
'-x,y+1/2,-z'
'x,-y+1/2,z'
loop_
_atom_site_label
_atom_site_type_symbol
_atom_site_fract_x
_atom_site_fract_y
_atom_site_fract_z
Tl1 Tl 0.005 0.250 0.072
Ag1 Ag 0.171 0.004 0.533
F1 F 0.015 0.250 0.424
F2 F 0.085 0.539 0.157
F3 F 0.174 0.250 0.867
F4 F 0.201 0.750 0.820
```

E_tot, eV per atom: -3.593
ΔE to the lowest computed polymorph, eV/atom: 0.0000

***

(3)
The following is a PBE-GGA calculation of an optimized crystal structure of TlAg2F5, from the Alexandria database.

```
data_TlAg2F5
_chemical_formula_sum 'Tl1 Ag2 F5'
_cell_length_a 6.065
_cell_length_b 6.391
_cell_length_c 6.409
_cell_angle_alpha 83.14
_cell_angle_beta 63.16
_cell_angle_gamma 64.50
_space_group_name_H-M_alt 'P 1'
_space_group_IT_number 1
loop_
_space_group_symop_operation_xyz
'x,y,z'
loop_
_atom_site_label
_atom_site_type_symbol
_atom_site_fract_x
_atom_site_fract_y
_atom_site_fract_z
Tl1 Tl 0.000 0.000 0.000
Ag1 Ag 0.285 0.938 0.389
Ag2 Ag 0.294 0.391 0.931
F1 F 0.140 0.732 0.734
F2 F 0.224 0.717 0.154
F3 F 0.234 0.152 0.711
F4 F 0.579 0.096 0.087
F5 F 0.962 0.236 0.237
```

E_tot, eV per atom: -3.504
ΔE to the lowest computed polymorph, eV/atom: 0.0897

***

(4)
The following is a PBE-GGA calculation of an optimized crystal structure of Tl2AgF8, from the Alexandria database.

```
data_Tl2AgF8
_chemical_formula_sum 'Tl4 Ag2 F16'
_cell_length_a 9.470
_cell_length_b 6.933
_cell_length_c 5.313
_cell_angle_alpha 90.00
_cell_angle_beta 101.93
_cell_angle_gamma 90.00
_space_group_name_H-M_alt 'C 1 2/m 1'
_space_group_IT_number 12
loop_
_space_group_symop_operation_xyz
'x,y,z'
'-x,-y,-z'
'-x,y,-z'
'x,-y,z'
'x+1/2,y+1/2,z'
'-x+1/2,-y+1/2,-z'
'-x+1/2,y+1/2,-z'
'x+1/2,-y+1/2,z'
loop_
_atom_site_label
_atom_site_type_symbol
_atom_site_fract_x
_atom_site_fract_y
_atom_site_fract_z
Tl1 Tl 0.180 0.000 0.440
Ag1 Ag 0.000 0.500 0.000
F1 F 0.054 0.000 0.751
F2 F 0.127 0.500 0.730
F3 F 0.166 0.300 0.274
```

E_tot, eV per atom: -3.642
ΔE to the lowest computed polymorph, eV/atom: 0.0000

***

(5)
The following is a PBE-GGA calculation of an optimized crystal structure of Tl2Ag2F, from the Alexandria database.

```
data_Tl2Ag2F
_chemical_formula_sum 'Tl4 Ag4 F2'
_cell_length_a 7.400
_cell_length_b 7.400
_cell_length_c 4.313
_cell_angle_alpha 90.00
_cell_angle_beta 90.00
_cell_angle_gamma 90.00
_space_group_name_H-M_alt 'P 4/m b m'
_space_group_IT_number 127
_space_group_name_Hall '-P 4 2ab'
loop_
_atom_site_label
_atom_site_type_symbol
_atom_site_fract_x
_atom_site_fract_y
_atom_site_fract_z
Tl1 Tl 0.186 0.314 0.000
Ag1 Ag 0.129 0.629 0.500
F1 F 0.000 0.000 0.000
```

E_tot, eV per atom: -2.832
ΔE to the lowest computed polymorph, eV/atom: 0.0673

***

(6)
The following is a PBE-GGA calculation of an optimized crystal structure of TlAgF3, from the Alexandria database.

```
data_TlAgF3
_chemical_formula_sum 'Tl2 Ag2 F6'
_cell_length_a 3.799
_cell_length_b 6.252
_cell_length_c 6.744
_cell_angle_alpha 91.52
_cell_angle_beta 92.72
_cell_angle_gamma 90.50
_space_group_name_H-M_alt 'P 1'
_space_group_IT_number 1
loop_
_space_group_symop_operation_xyz
'x,y,z'
loop_
_atom_site_label
_atom_site_type_symbol
_atom_site_fract_x
_atom_site_fract_y
_atom_site_fract_z
Tl1 Tl 0.000 0.000 0.000
Tl2 Tl 0.468 0.492 0.712
Ag1 Ag 0.458 0.506 0.269
Ag2 Ag 0.508 0.912 0.491
F1 F 0.003 0.358 0.968
F2 F 0.007 0.813 0.278
F3 F 0.492 0.103 0.801
F4 F 0.494 0.741 0.001
F5 F 0.505 0.141 0.209
F6 F 0.980 0.796 0.719
```

E_tot, eV per atom: -3.620
ΔE to the lowest computed polymorph, eV/atom: 0.0504

***

(7)
The following is a PBE-GGA calculation of an optimized crystal structure of TlAgF3, from the Alexandria database.

```
data_TlAgF3
_chemical_formula_sum 'Tl2 Ag2 F6'
_cell_length_a 4.1032
_cell_length_b 4.1032
_cell_length_c 13.3625
_cell_angle_alpha 90.00
_cell_angle_beta 90.00
_cell_angle_gamma 120.00
_space_group_name_H-M_alt 'P 63/m m c'
_space_group_IT_number 194
_space_group_name_Hall '-P 6c 2c'
loop_
_atom_site_label
_atom_site_type_symbol
_atom_site_fract_x
_atom_site_fract_y
_atom_site_fract_z
Tl1 Tl 0.0000 0.0000 0.0000
Ag1 Ag 0.3333 0.6667 0.2500
F1 F 0.0000 0.0000 0.2500
F2 F 0.3333 0.6667 0.0904
```

E_tot, eV per atom: -3.556
ΔE to the lowest computed polymorph, eV/atom: 0.1142

***

(8)
The following is a PBE-GGA calculation of an optimized crystal structure of TmTlAgF6, from the Alexandria database.

```
data_TmTlAgF6
_chemical_formula_sum 'Tm2 Tl2 Ag2 F12'
_cell_length_a 6.1802
_cell_length_b 6.1802
_cell_length_c 9.4209
_cell_angle_alpha 90.00
_cell_angle_beta 90.00
_cell_angle_gamma 120.00
_space_group_name_H-M_alt 'P -3 1 c'
_space_group_IT_number 163
_space_group_name_Hall '-P 3 2c'
loop_
_atom_site_label
_atom_site_type_symbol
_atom_site_fract_x
_atom_site_fract_y
_atom_site_fract_z
Tm1 Tm 0.3333 0.6667 0.2500
Tl1 Tl 0.3333 0.6667 0.7500
Ag1 Ag 0.0000 0.0000 0.0000
F1 F 0.0371 0.3672 0.1290
```

E_tot, eV per atom: -4.887